Entry 1:
An optimized crystal structure of C. Source: Alexandria via LeMat-Bulk, functional PBE.

a = 4.470 Å, b = 4.470 Å, c = 5.553 Å
α = 90.00°, β = 90.00°, γ = 90.00°
Fractional positions:
1 C 0.066 0.120 0.308
2 C 0.093 0.596 0.892
3 C 0.096 0.407 0.642
4 C 0.120 0.066 0.692
5 C 0.380 0.566 0.558
6 C 0.404 0.907 0.608
7 C 0.407 0.096 0.358
8 C 0.434 0.620 0.942
9 C 0.566 0.380 0.442
10 C 0.593 0.904 0.858
11 C 0.596 0.093 0.108
12 C 0.620 0.434 0.058
13 C 0.880 0.934 0.192
14 C 0.904 0.593 0.142
15 C 0.907 0.404 0.392
16 C 0.934 0.880 0.808

Calculated values
ρ, g/cm³: 2.9
N(E_F), states/eV per cell: 0.84
Symmetry: P4_12_12, No. 92
Crystal system: tetragonal
Formation energy, eV/atom: 0.97

---

Entry 2:
An optimized crystal structure of C. Source: Alexandria via LeMat-Bulk, functional PBE.

a = 4.878 Å, b = 4.878 Å, c = 4.878 Å
α = 90.00°, β = 90.00°, γ = 90.00°
Fractional positions:
1 C 0.163 0.163 0.163
2 C 0.163 0.163 0.837
3 C 0.163 0.837 0.163
4 C 0.163 0.837 0.837
5 C 0.337 0.337 0.337
6 C 0.337 0.337 0.663
7 C 0.337 0.663 0.337
8 C 0.337 0.663 0.663
9 C 0.663 0.337 0.337
10 C 0.663 0.337 0.663
11 C 0.663 0.663 0.337
12 C 0.663 0.663 0.663
13 C 0.837 0.163 0.163
14 C 0.837 0.163 0.837
15 C 0.837 0.837 0.163
16 C 0.837 0.837 0.837

Calculated values
ρ, g/cm³: 2.7
N(E_F), states/eV per cell: 0.00
Symmetry: Im-3m, No. 229
Crystal system: cubic
Formation energy, eV/atom: 0.76

---

Q: Which formula does entry 1 have?
A: C